1.
First-principles (PBE) data for AlRh2Au after structural relaxation, as listed in Alexandria.

Results
D(E_F) ... 5.5 states/eV/f.u.
Calculated formation energy ... -0.31 eV per atom

a = 5.252 Å, b = 5.252 Å, c = 5.252 Å
α = 147.08°, β = 129.40°, γ = 61.70°
Atoms (fractional coordinates):
Al 0.000 0.000 0.000
Rh 0.222 0.722 0.500
Rh 0.488 0.488 0.000
Au 0.763 0.263 0.500

***

2.
First-principles (PBE) data for TcSbSe after structural relaxation, as listed in Alexandria.

Results
Formation energy without anion corrections ... -0.1955 eV per atom
ΔE to the lowest computed polymorph ... 38 meV/atom

a = 7.299 Å, b = 6.675 Å, c = 8.783 Å
α = 54.30°, β = 47.96°, γ = 77.74°
Atoms (fractional coordinates):
Tc 0.252 0.748 0.265
Tc 0.515 0.985 0.502
Tc 0.748 0.252 0.735
Tc 0.985 0.515 0.998
Sb 0.167 0.840 0.983
Sb 0.241 0.267 0.410
Sb 0.267 0.241 0.083
Sb 0.840 0.167 0.009
Se 0.327 0.674 0.532
Se 0.674 0.327 0.467
Se 0.718 0.783 0.923
Se 0.783 0.718 0.576

***

3.
First-principles (PBE) data for CeMgZnHg after structural relaxation, as listed in Alexandria.

Results
D(E_F) ... 6.5 states/eV/f.u.
Calculated formation energy ... -0.32 eV per atom

a = 5.056 Å, b = 5.056 Å, c = 5.056 Å
α = 60.00°, β = 60.00°, γ = 60.00°
Atoms (fractional coordinates):
Ce 0.000 0.000 0.000
Mg 0.500 0.500 0.500
Zn 0.250 0.250 0.250
Hg 0.750 0.750 0.750